Entry from the Alexandria database: a relaxed Nd2NiI2 crystal (GGA-PBE).

Structure (CIF):
```
data_Nd2NiI2
_cell_length_a 4.1433
_cell_length_b 4.1433
_cell_length_c 35.2239
_cell_angle_alpha 90.00
_cell_angle_beta 90.00
_cell_angle_gamma 120.00
_space_group_name_H-M_alt 'R -3 m'
_space_group_IT_number 166
_space_group_name_Hall '-R 3 2"'
loop_
_atom_site_label
_atom_site_fract_x
_atom_site_fract_y
_atom_site_fract_z
_atom_site_occupancy
Nd1 0.0000 0.0000 0.1212 1
Ni1 0.0000 0.0000 0.5000 1
I1 0.0000 0.0000 0.2750 1
```

## Properties
Total magnetization, μB/f.u.: 0.0
Total energy, eV per cell: -68.34



Entry from the Alexandria database: a relaxed Nd2NiI crystal (GGA-PBE).

Structure (CIF):
```
data_Nd2NiI
_cell_length_a 4.1408
_cell_length_b 4.1408
_cell_length_c 24.2328
_cell_angle_alpha 90.00
_cell_angle_beta 90.00
_cell_angle_gamma 120.00
_space_group_name_H-M_alt 'R -3 m'
_space_group_IT_number 166
_space_group_name_Hall '-R 3 2"'
loop_
_atom_site_label
_atom_site_fract_x
_atom_site_fract_y
_atom_site_fract_z
_atom_site_occupancy
Nd1 0.0000 0.0000 0.2275 1
Ni1 0.0000 0.0000 0.5000 1
I1 0.0000 0.0000 0.0000 1
```

## Properties
Total magnetization, μB/f.u.: 0.0
Total energy, eV per cell: -58.56



Entry from the Alexandria database: a relaxed Nd8NiOs3I4 crystal (GGA-PBE).

Structure (CIF):
```
data_Nd8NiOs3I4
_cell_length_a 8.3521
_cell_length_b 8.3521
_cell_length_c 24.4794
_cell_angle_alpha 90.00
_cell_angle_beta 90.00
_cell_angle_gamma 120.00
_space_group_name_H-M_alt 'R -3 m'
_space_group_IT_number 166
_space_group_name_Hall '-R 3 2"'
loop_
_atom_site_label
_atom_site_fract_x
_atom_site_fract_y
_atom_site_fract_z
_atom_site_occupancy
Nd1 0.0000 0.0000 0.2293 1
Nd2 0.0053 0.5027 0.7719 1
Ni1 0.0000 0.0000 0.5000 1
Os1 0.0000 0.5000 0.5000 1
I1 0.0000 0.0000 0.0000 1
I2 0.0000 0.5000 0.0000 1
```

## Properties
Total magnetization, μB/f.u.: 0.0
Total energy, eV per cell: -278.64



Entry from the Alexandria database: a relaxed Nd4NiOsI2 crystal (GGA-PBE).

Structure (CIF):
```
data_Nd4NiOsI2
_cell_length_a 7.1561
_cell_length_b 4.1742
_cell_length_c 8.5080
_cell_angle_alpha 90.00
_cell_angle_beta 106.48
_cell_angle_gamma 90.00
_space_group_name_H-M_alt 'P 1 2/m 1'
_space_group_IT_number 10
loop_
_space_group_symop_operation_xyz
'x,y,z'
'-x,-y,-z'
'-x,y,-z'
'x,-y,z'
loop_
_atom_site_label
_atom_site_fract_x
_atom_site_fract_y
_atom_site_fract_z
_atom_site_occupancy
Nd1 0.2253 0.0000 0.1880 1
Nd2 0.2701 0.5000 0.8178 1
Ni1 0.5000 0.0000 0.0000 1
Os1 0.0000 0.5000 0.0000 1
I1 0.0000 0.0000 0.5000 1
I2 0.5000 0.5000 0.5000 1
```

## Properties
Total magnetization, μB/f.u.: 0.0
Total energy, eV per cell: -44.24



Entry from the Alexandria database: a relaxed Nd4NiPI2 crystal (GGA-PBE).

Structure (CIF):
```
data_Nd4NiPI2
_cell_length_a 7.5155
_cell_length_b 4.0906
_cell_length_c 8.1016
_cell_angle_alpha 90.00
_cell_angle_beta 106.53
_cell_angle_gamma 90.00
_space_group_name_H-M_alt 'P 1 2/m 1'
_space_group_IT_number 10
loop_
_space_group_symop_operation_xyz
'x,y,z'
'-x,-y,-z'
'-x,y,-z'
'x,-y,z'
loop_
_atom_site_label
_atom_site_fract_x
_atom_site_fract_y
_atom_site_fract_z
_atom_site_occupancy
Nd1 0.2130 0.0000 0.1852 1
Nd2 0.2713 0.5000 0.8057 1
Ni1 0.0000 0.5000 0.0000 1
P1 0.5000 0.0000 0.0000 1
I1 0.0000 0.0000 0.5000 1
I2 0.5000 0.5000 0.5000 1
```

## Properties
Total magnetization, μB/f.u.: 0.0
Total energy, eV per cell: -41.17



Entry from the Alexandria database: a relaxed Nd8NiPd3I4 crystal (GGA-PBE).

Structure (CIF):
```
data_Nd8NiPd3I4
_cell_length_a 8.4967
_cell_length_b 8.4967
_cell_length_c 24.2965
_cell_angle_alpha 90.00
_cell_angle_beta 90.00
_cell_angle_gamma 120.00
_space_group_name_H-M_alt 'R -3 m'
_space_group_IT_number 166
_space_group_name_Hall '-R 3 2"'
loop_
_atom_site_label
_atom_site_fract_x
_atom_site_fract_y
_atom_site_fract_z
_atom_site_occupancy
Nd1 0.0000 0.0000 0.2298 1
Nd2 0.0111 0.5056 0.2285 1
Ni1 0.0000 0.0000 0.5000 1
Pd1 0.0000 0.5000 0.5000 1
I1 0.0000 0.0000 0.0000 1
I2 0.0000 0.5000 0.0000 1
```

## Properties
Total magnetization, μB/f.u.: 0.0
Total energy, eV per cell: -236.35



Entry from the Alexandria database: a relaxed PmNdNiI crystal (GGA-PBE).

Structure (CIF):
```
data_PmNdNiI
_cell_length_a 4.1226
_cell_length_b 4.1226
_cell_length_c 24.1470
_cell_angle_alpha 90.00
_cell_angle_beta 90.00
_cell_angle_gamma 120.00
_space_group_name_H-M_alt 'R 3 m'
_space_group_IT_number 160
_space_group_name_Hall 'R 3 -2"'
loop_
_atom_site_label
_atom_site_fract_x
_atom_site_fract_y
_atom_site_fract_z
_atom_site_occupancy
Pm1 0.0000 0.0000 0.0000 1
Nd1 0.0000 0.0000 0.7879 1
Ni1 0.0000 0.0000 0.3936 1
I1 0.0000 0.0000 0.5622 1
```

## Properties
Total magnetization, μB/f.u.: 0.0
Total energy, eV per cell: -58.50



Entry from the Alexandria database: a relaxed PrNdNiI crystal (GGA-PBE).

Structure (CIF):
```
data_PrNdNiI
_cell_length_a 4.1543
_cell_length_b 4.1543
_cell_length_c 24.3206
_cell_angle_alpha 90.00
_cell_angle_beta 90.00
_cell_angle_gamma 120.00
_space_group_name_H-M_alt 'R 3 m'
_space_group_IT_number 160
_space_group_name_Hall 'R 3 -2"'
loop_
_atom_site_label
_atom_site_fract_x
_atom_site_fract_y
_atom_site_fract_z
_atom_site_occupancy
Pr1 0.0000 0.0000 0.0000 1
Nd1 0.0000 0.0000 0.7883 1
Ni1 0.0000 0.0000 0.3947 1
I1 0.0000 0.0000 0.5611 1
```

## Properties
Total magnetization, μB/f.u.: 0.0
Total energy, eV per cell: -58.52



Entry from the Alexandria database: a relaxed Nd8Ni3PtI4 crystal (GGA-PBE).

Structure (CIF):
```
data_Nd8Ni3PtI4
_cell_length_a 14.4864
_cell_length_b 8.3557
_cell_length_c 9.4181
_cell_angle_alpha 90.00
_cell_angle_beta 120.89
_cell_angle_gamma 90.00
_space_group_name_H-M_alt 'C 1 2/m 1'
_space_group_IT_number 12
loop_
_space_group_symop_operation_xyz
'x,y,z'
'-x,-y,-z'
'-x,y,-z'
'x,-y,z'
'x+1/2,y+1/2,z'
'-x+1/2,-y+1/2,-z'
'-x+1/2,y+1/2,-z'
'x+1/2,-y+1/2,z'
loop_
_atom_site_label
_atom_site_fract_x
_atom_site_fract_y
_atom_site_fract_z
_atom_site_occupancy
Nd1 0.0238 0.2443 0.3160 1
Nd2 0.2274 0.0000 0.6818 1
Nd3 0.2319 0.5000 0.6839 1
Ni1 0.0000 0.0000 0.5000 1
Ni2 0.2500 0.2500 0.5000 1
Pt1 0.0000 0.5000 0.5000 1
I1 0.0000 0.0000 0.0000 1
I2 0.0000 0.5000 0.0000 1
I3 0.2500 0.2500 0.0000 1
```

## Properties
Total magnetization, μB/f.u.: 0.0
Total energy, eV per cell: -160.25



Entry from the Alexandria database: a relaxed Nd8NiPt3I4 crystal (GGA-PBE).

Structure (CIF):
```
data_Nd8NiPt3I4
_cell_length_a 8.5013
_cell_length_b 8.5013
_cell_length_c 24.2946
_cell_angle_alpha 90.00
_cell_angle_beta 90.00
_cell_angle_gamma 120.00
_space_group_name_H-M_alt 'R -3 m'
_space_group_IT_number 166
_space_group_name_Hall '-R 3 2"'
loop_
_atom_site_label
_atom_site_fract_x
_atom_site_fract_y
_atom_site_fract_z
_atom_site_occupancy
Nd1 0.0000 0.0000 0.2291 1
Nd2 0.0076 0.5038 0.2281 1
Ni1 0.0000 0.0000 0.5000 1
Pt1 0.0000 0.5000 0.5000 1
I1 0.0000 0.0000 0.0000 1
I2 0.0000 0.5000 0.0000 1
```

## Properties
Total magnetization, μB/f.u.: 0.0
Total energy, eV per cell: -252.88



Entry from the Alexandria database: a relaxed Nd6NiRh2I3 crystal (GGA-PBE).

Structure (CIF):
```
data_Nd6NiRh2I3
_cell_length_a 7.2235
_cell_length_b 12.5121
_cell_length_c 8.4866
_cell_angle_alpha 90.00
_cell_angle_beta 106.49
_cell_angle_gamma 90.00
_space_group_name_H-M_alt 'C 1 2/m 1'
_space_group_IT_number 12
loop_
_space_group_symop_operation_xyz
'x,y,z'
'-x,-y,-z'
'-x,y,-z'
'x,-y,z'
'x+1/2,y+1/2,z'
'-x+1/2,-y+1/2,-z'
'-x+1/2,y+1/2,-z'
'x+1/2,-y+1/2,z'
loop_
_atom_site_label
_atom_site_fract_x
_atom_site_fract_y
_atom_site_fract_z
_atom_site_occupancy
Nd1 0.2266 0.1653 0.1842 1
Nd2 0.2311 0.5000 0.1845 1
Ni1 0.0000 0.0000 0.0000 1
Rh1 0.0000 0.3334 0.0000 1
I1 0.0000 0.1669 0.5000 1
I2 0.0000 0.5000 0.5000 1
```

## Properties
Total magnetization, μB/f.u.: 0.0
Total energy, eV per cell: -127.88